DFT (GGA-PBE) results for crystalline Tb2Er2Se5 at its relaxed geometry.

Structure (extended XYZ):
```
18
Lattice="-7.4209 1.0170 1.4492 -1.7347 -1.3241 -7.9534 0.3302 -5.8546 5.7994" Properties=species:S:1:pos:R:3 pbc="T T T"
Tb -1.3276 -2.2172 -5.2422
Tb -0.0769 -4.9615 3.0882
Tb -4.8198 -2.1877 -3.0636
Tb -4.0057 -3.9740 2.3588
Se -6.9107 -4.5033 1.7105
Se -4.0268 -5.0545 -3.2170
Se -7.4832 -3.2472 -2.1026
Se -5.3711 0.1490 -1.3010
Se -4.7986 -1.1072 2.5122
Se -4.4127 -3.0808 -0.3524
Se -1.9147 -1.6584 -2.4153
Se 0.0000 0.0000 0.0000
Se -3.4544 -6.3107 0.5962
Se -1.3422 -2.9145 1.3978
Er -2.7676 -0.7297 0.1751
Er -2.0677 -4.5113 -1.1757
Er -6.7577 -1.6504 0.4709
Er -6.0578 -5.4320 -0.8799
```

Output
- Crystal system: orthorhombic
- ΔE_f (raw): -1708 meV per atom
- Theoretical density: 8.17 g/cm3
- Distance to the lowest polymorph of the same formula: 0.000 eV/atom
- Space-group type: Cmce